Computed, not measured: a relaxed CuGePt4 crystal at the PBE level of DFT.

Cell: 4.1485 4.1488 5.7913 Å, 89.98 89.99 90.00°
With the nearest neighbours (Å) after each atom.
Fractional positions:
Ge 0.0014 0.9971 0.4981  8 Pt 2.53
Pt 0.0012 0.4972 0.2488  2 Ge 2.53, 2 Cu 2.53
Pt 0.5014 0.9973 0.2488  2 Ge 2.53, 2 Cu 2.53
Pt 0.5013 0.9975 0.7474  2 Ge 2.53, 2 Cu 2.53
Cu 0.5012 0.4975 0.9982  8 Pt 2.53
Pt 0.0013 0.4972 0.7474  2 Ge 2.53, 2 Cu 2.53

Computed properties:
E_form = -0.155 eV per atom
calculated total energy = -5.634 eV/atom
symmetry = P4/mmm, No. 123


Computed, not measured: a relaxed CuGe2Pt6 crystal at the PBE level of DFT.

Cell: 4.8210 7.0972 8.3165 Å, 90.00 88.14 90.00°
With the nearest neighbours (Å) after each atom.
Fractional positions:
Pt 0.8379 0.6546 0.5400  1 Ge 2.55, 1 Cu 2.59, 4 Pt 2.76-2.84
Pt 0.1621 0.3454 0.4600  1 Ge 2.55, 1 Cu 2.59, 4 Pt 2.76-2.84
Pt 0.1426 0.2391 0.1155  2 Ge 2.49-2.52, 1 Cu 2.69, 1 Pt 2.76
Cu 0.5000 0.5000 0.0000  6 Pt 2.59-2.69, 2 Ge 2.62
Ge 0.9356 0.4177 0.8178  5 Pt 2.45-2.56, 1 Cu 2.62
Pt 0.6606 0.4074 0.2903  2 Ge 2.45-2.56, 1 Cu 2.64
Ge 0.5644 0.9177 0.6822  5 Pt 2.45-2.56, 1 Cu 2.62
Pt 0.6426 0.2609 0.6155  2 Ge 2.49-2.52, 1 Cu 2.69, 1 Pt 2.76
Pt 0.1606 0.0926 0.7903  2 Ge 2.45-2.56, 1 Cu 2.64
Cu 0.0000 0.0000 0.5000  6 Pt 2.59-2.69, 2 Ge 2.62
Pt 0.3394 0.5926 0.7097  2 Ge 2.45-2.56, 1 Cu 2.64
Pt 0.3574 0.7391 0.3845  2 Ge 2.49-2.52, 1 Cu 2.69, 1 Pt 2.76
Pt 0.3379 0.8454 0.0400  1 Ge 2.55, 1 Cu 2.59, 4 Pt 2.76-2.84
Ge 0.4356 0.0823 0.3178  5 Pt 2.45-2.56, 1 Cu 2.62
Pt 0.8394 0.9074 0.2097  2 Ge 2.45-2.56, 1 Cu 2.64
Pt 0.8574 0.7609 0.8845  2 Ge 2.49-2.52, 1 Cu 2.69, 1 Pt 2.76
Ge 0.0644 0.5823 0.1822  5 Pt 2.45-2.56, 1 Cu 2.62
Pt 0.6621 0.1546 0.9600  1 Ge 2.55, 1 Cu 2.59, 4 Pt 2.76-2.84

Computed properties:
E_form = -0.204 eV per atom
ΔE to the lowest computed polymorph = 4.7 meV per atom
calculated total energy = -5.712 eV/atom
symmetry = P2_1/c, No. 14


Computed, not measured: a relaxed CuGePt14 crystal at the PBE level of DFT.

Cell: 5.5083 5.5083 9.5192 Å, 90.00 90.00 119.85°
With the nearest neighbours (Å) after each atom.
Fractional positions:
Pt 0.3724 0.6276 0.2503  10 Pt 2.74-2.77
Pt 0.8729 0.6225 0.7354  1 Ge 2.63, 1 Cu 2.64, 8 Pt 2.73-2.88
Pt 0.1255 0.8745 0.0000  10 Pt 2.75-2.88
Pt 0.1255 0.3744 0.0000  10 Pt 2.75-2.76
Pt 0.3724 0.6276 0.7497  10 Pt 2.74-2.77
Pt 0.3775 0.1271 0.2646  1 Ge 2.63, 1 Cu 2.64, 8 Pt 2.73-2.88
Pt 0.6256 0.8745 0.0000  10 Pt 2.75-2.76
Cu 0.1241 0.8759 0.5000  8 Pt 2.64-2.76, 2 Ge 2.76
Pt 0.3775 0.1271 0.7354  1 Ge 2.63, 1 Cu 2.64, 8 Pt 2.73-2.88
Pt 0.6242 0.8757 0.5000  6 Pt 2.75-2.76, 2 Ge 2.75-2.76, 2 Cu 2.75-2.76
Ge 0.6238 0.3762 0.5000  8 Pt 2.63-2.76, 2 Cu 2.76
Pt 0.8779 0.1221 0.7496  10 Pt 2.74-2.77
Pt 0.8729 0.6225 0.2646  1 Ge 2.63, 1 Cu 2.64, 8 Pt 2.73-2.88
Pt 0.6256 0.3744 0.0000  10 Pt 2.75-2.87
Pt 0.8779 0.1221 0.2504  10 Pt 2.74-2.77
Pt 0.1243 0.3758 0.5000  6 Pt 2.75-2.76, 2 Ge 2.75-2.76, 2 Cu 2.75-2.76

Computed properties:
E_form = -0.078 eV per atom
calculated total energy = -5.908 eV/atom
symmetry = Amm2, No. 38


Computed, not measured: a relaxed CuGePt3 crystal at the PBE level of DFT.

Cell: 4.5243 7.9651 9.8105 Å, 121.84 90.00 90.00°
With the nearest neighbours (Å) after each atom.
Fractional positions:
Ge 0.2204 0.2174 0.4336  6 Pt 2.52-2.63, 1 Cu 2.61
Pt 0.6503 0.6617 0.2773  2 Ge 2.54-2.63, 2 Cu 2.68-2.71, 1 Pt 2.83
Pt 0.2309 0.4154 0.0414  2 Ge 2.52-2.61, 2 Cu 2.62-2.64
Pt 0.8497 0.1617 0.7773  2 Ge 2.54-2.63, 2 Cu 2.68-2.71, 1 Pt 2.83
Pt 0.3542 0.6406 0.6462  2 Ge 2.56-2.57, 4 Cu 2.67-2.75
Pt 0.7691 0.5846 0.9586  2 Ge 2.52-2.61, 2 Cu 2.62-2.64
Cu 0.3470 0.0388 0.8475  1 Ge 2.61, 8 Pt 2.62-2.75
Cu 0.6530 0.9612 0.1525  1 Ge 2.61, 8 Pt 2.62-2.75
Pt 0.3497 0.3383 0.7227  2 Ge 2.54-2.63, 2 Cu 2.68-2.71, 1 Pt 2.83
Pt 0.7309 0.0846 0.4586  2 Ge 2.52-2.61, 2 Cu 2.62-2.64
Pt 0.2691 0.9154 0.5414  2 Ge 2.52-2.61, 2 Cu 2.62-2.64
Ge 0.7204 0.2826 0.0664  6 Pt 2.52-2.63, 1 Cu 2.61
Ge 0.2796 0.7174 0.9336  6 Pt 2.52-2.63, 1 Cu 2.61
Ge 0.7796 0.7826 0.5664  6 Pt 2.52-2.63, 1 Cu 2.61
Pt 0.1458 0.1406 0.1462  2 Ge 2.56-2.57, 4 Cu 2.67-2.75
Pt 0.8542 0.8594 0.8538  2 Ge 2.56-2.57, 4 Cu 2.67-2.75
Cu 0.8470 0.4612 0.6525  1 Ge 2.61, 8 Pt 2.62-2.75
Cu 0.1530 0.5388 0.3475  1 Ge 2.61, 8 Pt 2.62-2.75
Pt 0.6458 0.3594 0.3538  2 Ge 2.56-2.57, 4 Cu 2.67-2.75
Pt 0.1503 0.8383 0.2227  2 Ge 2.54-2.63, 2 Cu 2.68-2.71, 1 Pt 2.83

Computed properties:
E_form = -0.244 eV per atom
ΔE to the lowest computed polymorph = 0.0 meV per atom
calculated total energy = -5.611 eV/atom
symmetry = P2_1/c, No. 14


Computed, not measured: a relaxed CuGe2Pt crystal at the PBE level of DFT.

Cell: 6.1977 6.1977 6.0697 Å, 59.30 59.30 90.00°
With the nearest neighbours (Å) after each atom.
Fractional positions:
Ge 0.8750 0.8708 0.7500  2 Cu 2.41, 2 Pt 2.45
Ge 0.3750 0.3792 0.7500  2 Cu 2.41, 2 Pt 2.45
Pt 0.0000 0.0000 0.0000  4 Ge 2.45
Cu 0.5000 0.5000 0.0000  4 Ge 2.41
Ge 0.6208 0.1250 0.2500  2 Cu 2.41, 2 Pt 2.45
Pt 0.7500 0.2500 0.5000  4 Ge 2.45
Ge 0.1292 0.6250 0.2500  2 Cu 2.41, 2 Pt 2.45
Cu 0.2500 0.7500 0.5000  4 Ge 2.41

Computed properties:
E_form = 0.118 eV per atom
ΔE to the lowest computed polymorph = 134.1 meV per atom
calculated total energy = -4.724 eV/atom
symmetry = I-42d, No. 122


Computed, not measured: a relaxed CuGePt crystal at the PBE level of DFT.

Cell: 3.3313 3.3313 4.6191 Å, 111.14 111.14 90.00°
With the nearest neighbours (Å) after each atom.
Fractional positions:
Cu 0.2856 0.2856 0.5712  5 Ge 2.61-2.72, 5 Pt 2.67-2.69
Pt 0.9500 0.9500 0.9000  5 Cu 2.67-2.69, 5 Ge 2.67-2.69
Ge 0.6144 0.6144 0.2288  5 Cu 2.61-2.72, 5 Pt 2.67-2.69

Computed properties:
E_form = -0.208 eV per atom
calculated total energy = -5.126 eV/atom
symmetry = I4mm, No. 107


Computed, not measured: a relaxed CuGe2Pt2 crystal at the PBE level of DFT.

Cell: 7.0715 7.0715 3.2816 Å, 90.00 90.00 90.00°
With the nearest neighbours (Å) after each atom.
Fractional positions:
Ge 0.8419 0.3419 0.5000  6 Pt 2.56-2.70
Cu 0.0000 0.0000 0.0000  4 Pt 2.71
Ge 0.1581 0.6581 0.5000  6 Pt 2.56-2.70
Pt 0.6455 0.1455 0.0000  6 Ge 2.56-2.70, 2 Cu 2.71
Pt 0.3545 0.8545 0.0000  6 Ge 2.56-2.70, 2 Cu 2.71
Ge 0.6581 0.8419 0.5000  6 Pt 2.56-2.70
Cu 0.5000 0.5000 0.0000  4 Pt 2.71
Ge 0.3419 0.1581 0.5000  6 Pt 2.56-2.70
Pt 0.1455 0.3545 0.0000  6 Ge 2.56-2.70, 2 Cu 2.71
Pt 0.8545 0.6455 0.0000  6 Ge 2.56-2.70, 2 Cu 2.71

Computed properties:
E_form = -0.134 eV per atom
ΔE to the lowest computed polymorph = 0.0 meV per atom
calculated total energy = -5.216 eV/atom
symmetry = P4/mbm, No. 127


Computed, not measured: a relaxed Cu3GePt crystal at the PBE level of DFT.

Cell: 4.7643 6.6544 4.7570 Å, 90.00 90.00 110.97°
With the nearest neighbours (Å) after each atom.
Fractional positions:
Ge 0.1756 0.3512 0.2500  8 Cu 2.47-2.69, 2 Pt 2.72
Cu 0.1057 0.7014 0.2500  4 Cu 2.33-2.52, 1 Ge 2.47
Cu 0.8943 0.2986 0.7500  4 Cu 2.33-2.52, 1 Ge 2.47
Pt 0.4294 0.8588 0.7500  2 Ge 2.72, 10 Cu 2.80-2.97, 2 Pt 2.96
Pt 0.5706 0.1412 0.2500  2 Ge 2.72, 10 Cu 2.80-2.97, 2 Pt 2.96
Ge 0.8244 0.6488 0.7500  8 Cu 2.47-2.69, 2 Pt 2.72
Cu 0.0000 0.0000 0.0000  6 Cu 2.38-2.52, 2 Ge 2.49
Cu 0.4043 0.2986 0.7500  4 Cu 2.33-2.52, 1 Ge 2.47
Cu 0.0000 0.0000 0.5000  6 Cu 2.38-2.52, 2 Ge 2.49
Cu 0.5957 0.7014 0.2500  4 Cu 2.33-2.52, 1 Ge 2.47

Computed properties:
E_form = 0.004 eV per atom
ΔE to the lowest computed polymorph = 97.8 meV per atom
calculated total energy = -4.586 eV/atom
symmetry = Cmcm, No. 63


Computed, not measured: a relaxed CuGePt6 crystal at the PBE level of DFT.

Cell: 6.0838 6.9509 5.5619 Å, 42.50 54.48 66.25°
With the nearest neighbours (Å) after each atom.
Fractional positions:
Ge 0.5000 0.5000 0.5000  6 Pt 2.43-2.55
Pt 0.9911 0.5060 0.7513  1 Ge 2.55, 2 Cu 2.65-2.83, 5 Pt 2.72-2.85
Cu 0.0000 0.0000 0.0000  8 Pt 2.59-2.83
Pt 0.5431 0.7417 0.6356  1 Ge 2.43, 1 Cu 2.59, 4 Pt 2.62-2.72
Pt 0.0089 0.4940 0.2487  1 Ge 2.55, 2 Cu 2.65-2.83, 5 Pt 2.72-2.85
Pt 0.7413 0.9469 0.7819  1 Ge 2.51, 3 Pt 2.70-2.77, 1 Cu 2.73
Pt 0.4569 0.2583 0.3644  1 Ge 2.43, 1 Cu 2.59, 4 Pt 2.62-2.72
Pt 0.2587 0.0531 0.2181  1 Ge 2.51, 3 Pt 2.70-2.77, 1 Cu 2.73

Computed properties:
E_form = -0.052 eV per atom
ΔE to the lowest computed polymorph = 99.4 meV per atom
calculated total energy = -5.671 eV/atom
symmetry = P-1, No. 2


Computed, not measured: a relaxed Cu3GePt4 crystal at the PBE level of DFT.

Cell: 4.0312 4.0312 7.5497 Å, 105.55 105.55 89.93°
With the nearest neighbours (Å) after each atom.
Fractional positions:
Pt 0.3771 0.3768 0.7537  6 Cu 2.65-2.70, 2 Ge 2.65, 4 Pt 2.85
Cu 0.2485 0.7485 0.4975  8 Pt 2.67-2.70, 4 Cu 2.85
Pt 0.6229 0.6232 0.2463  6 Cu 2.65-2.70, 2 Ge 2.65, 4 Pt 2.85
Pt 0.8768 0.8771 0.7537  6 Cu 2.65-2.70, 2 Ge 2.65, 4 Pt 2.85
Cu 0.0000 0.5000 0.0000  8 Pt 2.65, 4 Ge 2.85
Cu 0.7515 0.2515 0.5025  8 Pt 2.67-2.70, 4 Cu 2.85
Ge 0.5000 0.0000 0.0000  8 Pt 2.65, 4 Cu 2.85
Pt 0.1232 0.1229 0.2463  6 Cu 2.65-2.70, 2 Ge 2.65, 4 Pt 2.85

Computed properties:
E_form = -0.267 eV per atom
calculated total energy = -5.401 eV/atom
symmetry = Fmmm, No. 69


Computed, not measured: a relaxed Cu8Ge2Pt crystal at the PBE level of DFT.

Cell: 4.3146 6.6466 6.7316 Å, 60.42 77.62 64.27°
With the nearest neighbours (Å) after each atom.
Fractional positions:
Cu 0.8582 0.3160 0.7806  4 Cu 2.47-2.63, 2 Ge 2.48-2.64
Ge 0.0000 0.3087 0.3826  8 Cu 2.41-2.64
Cu 0.8582 0.0965 0.2194  4 Cu 2.47-2.63, 2 Ge 2.48-2.64
Pt 0.5000 0.0000 0.0000  12 Cu 2.51-2.81
Ge 0.0000 0.6913 0.6174  8 Cu 2.41-2.64
Cu 0.3038 0.4155 0.0000  6 Cu 2.36-2.63, 1 Pt 2.51, 2 Ge 2.53
Cu 0.5000 0.2170 0.5659  2 Ge 2.41, 1 Pt 2.54
Cu 0.5000 0.7830 0.4341  2 Ge 2.41, 1 Pt 2.54
Cu 0.6962 0.5845 0.0000  6 Cu 2.36-2.63, 1 Pt 2.51, 2 Ge 2.53
Cu 0.1418 0.6840 0.2194  4 Cu 2.47-2.63, 2 Ge 2.48-2.64
Cu 0.1418 0.9035 0.7806  4 Cu 2.47-2.63, 2 Ge 2.48-2.64

Computed properties:
E_form = 0.069 eV per atom
calculated total energy = -4.299 eV/atom
symmetry = C2/m, No. 12


Computed, not measured: a relaxed CuGePt crystal at the PBE level of DFT.

Cell: 3.8065 3.9378 10.7866 Å, 122.93 90.00 118.90°
With the nearest neighbours (Å) after each atom.
Fractional positions:
Cu 0.7620 0.5239 0.9234  4 Pt 2.59-2.60, 3 Cu 2.59-2.60
Cu 0.2380 0.4761 0.0766  4 Pt 2.59-2.60, 3 Cu 2.59-2.60
Pt 0.9389 0.8778 0.7706  3 Ge 2.46-2.47, 4 Cu 2.59-2.60
Ge 0.1509 0.3018 0.6521  3 Pt 2.46-2.47, 1 Ge 2.57
Ge 0.8491 0.6982 0.3479  3 Pt 2.46-2.47, 1 Ge 2.57
Pt 0.0611 0.1222 0.2294  3 Ge 2.46-2.47, 4 Cu 2.59-2.60

Computed properties:
E_form = -0.114 eV per atom
calculated total energy = -5.032 eV/atom
symmetry = C2/m, No. 12


Computed, not measured: a relaxed CuGePt3 crystal at the PBE level of DFT.

Cell: 4.6267 4.6267 4.6267 Å, 90.00 90.00 90.00°
With the nearest neighbours (Å) after each atom.
Fractional positions:
Cu 0.5000 0.5000 0.5000  12 Pt 3.27
Ge 0.0000 0.0000 0.0000  6 Pt 2.31
Pt 0.0000 0.5000 0.0000  2 Ge 2.31
Pt 0.0000 0.0000 0.5000  2 Ge 2.31
Pt 0.5000 0.0000 0.0000  2 Ge 2.31

Computed properties:
E_form = 0.629 eV per atom
ΔE to the lowest computed polymorph = 872.4 meV per atom
calculated total energy = -4.738 eV/atom
symmetry = Pm-3m, No. 221